Here is a geometry-optimized Sm2CuNiPt6 structure from Alexandria via LeMat-Bulk. Energies are from PBE.

Formation energy from the elements   -134 meV/atom
Total DFT energy (no corrections)   -56.90 eV/cell
Total magnetization   0.360 Bohr magnetons per cell
Symmetry   Fm-3m (225)
Density of states at the Fermi level   10.9 states/eV/cell

Geometry as POSCAR:
```
Sm2CuNiPt6
1.0
-1.9379 5.5591 -2.9053
-3.8989 -3.4495 -3.9998
-6.3928 1.4399 -0.3980
Pt Sm Cu Ni
6 2 1 1
Direct
0.7497 0.7497 0.0000
0.2503 0.7497 0.0000
0.2503 0.2503 0.4993
0.2503 0.2503 0.0000
0.7497 0.7497 0.5007
0.7497 0.2503 0.0000
0.7500 0.2500 0.5000
0.2500 0.7500 0.5000
0.0000 0.0000 0.0000
0.5000 0.5000 0.0000
```

***

Here is a geometry-optimized CeCdGa2 structure from Alexandria via LeMat-Bulk. Energies are from PBE.

Formation energy from the elements   -317 meV/atom
Total DFT energy (no corrections)   -28.34 eV/cell
Total magnetization   1.518 Bohr magnetons per cell
Symmetry   P-3m1 (164)
Density of states at the Fermi level   12.2 states/eV/cell
Offset from the most stable computed form   0.043 eV per atom

Geometry as POSCAR:
```
CeCdGa2
1.0
-1.9995 2.8023 3.1692
3.4069 -2.9360 1.2913
6.6497 6.8842 -1.8918
Ga Ce Cd
4 2 2
Direct
0.6667 0.3333 0.9870
0.3333 0.6667 0.3143
0.6667 0.3333 0.6857
0.3333 0.6667 0.0130
0.0000 0.0000 0.1869
0.0000 0.0000 0.8131
0.3333 0.6667 0.6094
0.6667 0.3333 0.3906
```

***

Here is a geometry-optimized Pm3PuSc2Te6 structure from Alexandria via LeMat-Bulk. Energies are from PBE.

Total DFT energy (no corrections)   -75.19 eV/cell
Total magnetization   6.200 Bohr magnetons per cell
Symmetry   C2/m (12)
ΔE_f (raw)   -1258 meV per atom
Density of states at the Fermi level   11.9 states/eV/cell

Geometry as POSCAR:
```
Pm3PuSc2Te6
1.0
-3.9387 -0.0942 1.7792
2.6522 -6.2807 5.5387
3.8635 8.1710 3.7339
Te Pu Pm Sc
6 1 3 2
Direct
0.6682 0.0975 0.3364
0.9939 0.7496 0.9877
0.0061 0.2504 0.0123
0.3263 0.4313 0.6527
0.6737 0.5687 0.3473
0.3318 0.9025 0.6636
0.5000 0.0000 0.0000
0.1621 0.8309 0.3241
0.8379 0.1691 0.6759
0.5000 0.5000 0.0000
0.1626 0.3245 0.3252
0.8374 0.6755 0.6748
```

***

Here is a geometry-optimized ZrMo2C structure from Alexandria via LeMat-Bulk. Energies are from PBE.

Formation energy from the elements   785 meV/atom
Total DFT energy (no corrections)   -36.29 eV/cell
Total magnetization   0.000 Bohr magnetons per cell
Symmetry   C2/m (12)
Density of states at the Fermi level   2.9 states/eV/cell

Geometry as POSCAR:
```
ZrMo2C
1.0
5.4838 -0.0111 0.0666
-3.2340 4.4287 0.0666
1.0546 2.0707 2.6196
Mo C Zr
2 1 1
Direct
0.5000 0.5000 0.0000
0.0000 0.0000 0.0000
0.0000 0.5000 0.5000
0.5000 0.0000 0.5000
```